1.
First-principles (PBE-GGA) data for an optimized crystal structure of La2PrSmHo5, as listed in the Alexandria database.

The structure in CIF format:
```
data_La2PrSmHo5
_chemical_formula_sum 'La8 Pr4 Sm4 Ho20'
_space_group_name_H-M_alt 'I 4/m c m'
_space_group_IT_number 140
_space_group_name_Hall '-I 4 2c'
_cell_length_a 8.722
_cell_length_b 8.722
_cell_length_c 15.775
_cell_angle_alpha 90.00
_cell_angle_beta 90.00
_cell_angle_gamma 90.00
loop_
_atom_site_label
_atom_site_type_symbol
_atom_site_fract_x
_atom_site_fract_y
_atom_site_fract_z
La1 La 0.117 0.383 0.000
Pr1 Pr 0.000 0.000 0.250
Sm1 Sm 0.000 0.500 0.250
Ho1 Ho 0.000 0.000 0.000
Ho2 Ho 0.214 0.286 0.360
```



2.
First-principles (PBE-GGA) data for an optimized crystal structure of La2Pr6SmHo, as listed in the Alexandria database.

The structure in CIF format:
```
data_La2Pr6SmHo
_chemical_formula_sum 'La8 Pr24 Sm4 Ho4'
_space_group_name_H-M_alt 'C 1 2/c 1'
_space_group_IT_number 15
_space_group_name_Hall '-C 2yc'
_cell_length_a 9.289
_cell_length_b 15.400
_cell_length_c 10.181
_cell_angle_alpha 90.00
_cell_angle_beta 100.14
_cell_angle_gamma 90.00
loop_
_atom_site_label
_atom_site_type_symbol
_atom_site_fract_x
_atom_site_fract_y
_atom_site_fract_z
La1 La 0.242 0.048 0.041
Pr1 Pr 0.069 0.189 0.445
Pr2 Pr 0.100 0.398 0.620
Pr3 Pr 0.203 0.219 0.811
Sm1 Sm 0.000 0.013 0.750
Ho1 Ho 0.000 0.405 0.250
```



Listing final energy for the structures above in their given order: -4.45, -4.68 eV/atom.
Listing energy of formation from the pure elements for the structures above in their given order: 0.2449, 0.1077 eV per atom.